A plane-wave DFT calculation with PBE-GGA was carried out for crystalline OsSe2BrCl at its relaxed geometry.

POSCAR file:
```
OsSe2BrCl
1.0
4.815 0.000 0.000
0.000 4.815 0.000
0.000 0.000 5.211
Os Cl Se Br
1 1 2 1
direct
0.000 0.000 0.000
0.500 0.500 0.500
0.000 0.500 0.000
0.500 0.000 0.000
0.000 0.000 0.500
```

The raw formation energy is 0.47 eV/atom. Its volume is 120.8 Å³/cell. For the energy relative to the lowest polymorph listed for this composition, the calculation gives 0.0 meV/atom. The calculation puts the density of states at the Fermi level at 5.0 states/eV/f.u. Its spin magnetization is 0.0 μB per formula unit.